VASP calculation (PBE-GGA) on BaPRuPt after structural relaxation.

The structure in POSCAR format:
```
BaPRuPt
1.0
-3.432 0.711 -1.887
-1.474 -3.428 1.388
-3.942 5.425 9.213
Ba P Ru Pt
2 2 2 2
direct
0.750 0.750 0.275 Ba
0.250 0.250 0.725 Ba
0.750 0.750 0.894 P
0.250 0.250 0.106 P
0.750 0.250 0.000 Ru
0.250 0.750 0.000 Ru
0.250 0.750 0.500 Pt
0.750 0.250 0.500 Pt
```

Calculated values
Calculated formation energy = -747 meV per atom
Density = 8.54 Mg/m³